LaHoPd4 | GGA-PBE | optimized geometry

Output
- E_form (eV/atom) = -0.80
- M_tot (μB per cell) = 0.000
- space-group type = F-43m (216)

Cell: 5.5042 5.5042 5.5042 Å, 60.00 60.00 60.00°
With the nearest neighbours (Å) after each atom.
Element x y z (fractional)
La  0.0000  0.0000  0.0000  12 Pd 3.23, 4 Ho 3.37
Ho  0.2500  0.2500  0.2500  12 Pd 3.23, 4 La 3.37
Pd  0.1266  0.6245  0.6245  6 Pd 2.74-2.76
Pd  0.6245  0.1266  0.6245  6 Pd 2.74-2.76
Pd  0.6245  0.6245  0.1266  6 Pd 2.74-2.76
Pd  0.6245  0.6245  0.6245  6 Pd 2.74-2.76